(1)
18
Lattice="-2.785 2.785 7.962 2.785 -2.785 7.962 2.785 2.785 -7.962" Properties=species:S:1:pos:R:3 comment="LiLaNb4O12, optimized geometry, DFT PBEsol" formation_energy_uncorrected_ev_per_fu=-47.57 volume_a3_per_atom=13.72 pbc="T T T"
Li 0.000 0.000 0.000
La 0.000 0.000 7.962
Nb 2.785 0.000 2.049
Nb 2.785 0.000 5.912
Nb 0.000 2.785 2.049
Nb 0.000 2.785 5.912
O 2.785 0.000 0.000
O 1.426 1.426 -1.804
O 1.359 -1.359 6.158
O 2.785 0.000 3.981
O 1.426 1.426 1.804
O 1.359 -1.359 9.765
O 0.000 2.785 0.000
O -1.359 1.359 6.158
O 1.359 1.359 6.158
O 0.000 2.785 3.981
O -1.359 1.359 9.765
O 1.359 1.359 9.765

---

(2)
15
Lattice="5.356 0.000 0.000 2.448 4.888 0.000 1.980 1.846 5.272" Properties=species:S:1:pos:R:3 comment="Li8MnO4F2, optimized geometry, DFT PBEsol" formation_energy_uncorrected_ev_per_fu=-29.89 volume_a3_per_atom=9.20 pbc="T T T"
Li 1.797 2.412 1.712
Li 3.718 2.590 4.965
Li 5.193 5.813 3.326
Li 4.422 4.193 1.966
Li 5.362 2.540 3.306
Li 4.591 0.921 1.946
Li 6.066 4.144 0.307
Li 7.986 4.322 3.560
Mn 3.902 2.444 0.000
O 4.459 4.132 3.927
O 2.827 0.874 1.288
O 6.957 5.860 3.984
O 5.325 2.602 1.345
F 2.551 4.164 1.501
F 7.233 2.569 3.771

---

(3)
18
Lattice="-3.782 3.948 5.449 3.782 -3.948 5.449 3.782 3.948 -5.449" Properties=species:S:1:pos:R:3 comment="CsScAgF6, optimized geometry, DFT PBEsol" formation_energy_uncorrected_ev_per_fu=-24.98 volume_a3_per_atom=18.08 pbc="T T T"
Cs 0.000 1.974 1.726
Cs 3.782 1.974 3.723
Sc 3.782 0.000 0.000
Sc 0.000 0.000 5.449
Ag 1.891 1.974 -2.724
Ag 1.891 -1.974 2.724
F 3.782 -1.974 3.433
F 2.349 -0.154 1.396
F 5.216 -0.154 1.396
F 3.782 1.974 0.364
F 2.349 3.794 -1.396
F 1.433 -0.154 4.052
F 2.349 4.101 1.396
F 1.433 0.154 6.845
F 0.000 1.974 5.085
F -1.433 4.101 4.052
F 1.433 4.101 4.052
F 0.000 5.922 2.016

---

(4)
5
Lattice="5.532 0.000 0.000 0.000 5.532 0.000 0.000 0.000 4.841" Properties=species:S:1:pos:R:3 comment="YAl2CuB, optimized geometry, DFT PBEsol" formation_enthalpy_0k_mev_per_atom=2157 volume_a3_per_atom=29.64 pbc="T T T"
Y 0.000 0.000 0.000
Al 0.000 2.766 0.000
Al 2.766 0.000 0.000
Cu 0.000 0.000 2.421
B 2.766 2.766 2.421

---

(5)
8
Lattice="9.241 0.000 0.000 0.000 3.154 0.000 -1.275 0.000 5.363" Properties=species:S:1:pos:R:3 comment="TaRuPb2, optimized geometry, DFT PBEsol" formation_enthalpy_0k_mev_per_atom=643 volume_a3_per_atom=19.54 pbc="T T T"
Ta 0.000 0.000 0.000
Ta 4.620 1.577 0.000
Ru -0.637 1.577 2.682
Ru 3.983 0.000 2.682
Pb 1.296 0.000 3.969
Pb 2.050 1.577 1.394
Pb 5.917 1.577 3.969
Pb 6.670 0.000 1.394

---

(6)
5
Lattice="4.655 0.000 0.000 0.000 4.655 0.000 0.000 0.000 4.655" Properties=species:S:1:pos:R:3 comment="BiOs3Ru, optimized geometry, DFT PBEsol" formation_enthalpy_0k_mev_per_atom=2116 volume_a3_per_atom=20.17 pbc="T T T"
Bi 0.000 0.000 0.000
Os 0.000 2.327 2.327
Os 2.327 0.000 2.327
Os 2.327 2.327 0.000
Ru 2.327 2.327 2.327

---

(7)
23
Lattice="4.945 -4.568 0.000 4.945 4.568 0.000 -3.724 0.000 8.539" Properties=species:S:1:pos:R:3 comment="BaAu2S4O16, optimized geometry, DFT PBEsol" formation_energy_uncorrected_ev_per_fu=-29.87 volume_a3_per_atom=16.77 pbc="T T T"
Ba 0.000 0.000 0.000
Au -1.862 0.000 4.270
Au 3.082 0.000 4.270
S 2.422 2.289 2.311
S 3.743 2.289 6.229
S 2.422 -2.289 2.311
S 3.743 -2.289 6.229
O -0.672 1.379 5.093
O 3.102 3.067 1.303
O 1.271 1.523 1.894
O 3.063 3.067 7.236
O -0.672 -1.379 5.093
O 3.520 1.380 2.895
O 2.645 1.380 5.644
O 1.271 -1.523 1.894
O 4.893 1.523 6.645
O 3.520 -1.380 2.895
O 2.645 -1.380 5.644
O 6.836 1.379 3.446
O 3.102 -3.067 1.303
O 4.893 -1.523 6.645
O 3.063 -3.067 7.236
O 6.836 -1.379 3.446

---

(8)
5
Lattice="5.017 0.000 0.000 0.000 5.017 0.000 0.000 0.000 5.217" Properties=species:S:1:pos:R:3 comment="HfSbAsSe2, optimized geometry, DFT PBEsol" formation_energy_uncorrected_ev_per_fu=-0.30 volume_a3_per_atom=26.26 pbc="T T T"
Hf 0.000 0.000 0.000
Sb 2.508 2.508 2.608
As 0.000 0.000 2.608
Se 0.000 2.508 0.000
Se 2.508 0.000 0.000